Entry 1:
Compound: Sm2CuGe3
Source: Alexandria via LeMat-Bulk
Functional: GGA-PBE
Structure: optimized geometry

Summary:
- Formation energy: -0.70 eV per atom
- Space group: Fmmm (69)
- Total magnetization: 0.00 μB per formula unit
- Excess energy over the best structure of this formula in the dataset: 0 meV/atom

Unit cell a=5.9082 b=5.9082 c=8.3427 alpha=110.64 beta=110.64 gamma=90.25
Atoms (fractional coordinates):
Ge  0.8250  0.3461  0.1711
Ge  0.6539  0.1750  0.8289
Ge  0.8293  0.8293  0.6585
Ge  0.1707  0.1707  0.3415
Ge  0.1750  0.6539  0.8289
Ge  0.3461  0.8250  0.1711
Sm  0.7500  0.2500  0.5000
Sm  0.7581  0.7581  0.0000
Sm  0.2500  0.7500  0.5000
Sm  0.2419  0.2419  0.0000
Cu  0.3331  0.3331  0.6662
Cu  0.6669  0.6669  0.3338

---

Entry 2:
Compound: Sm2CuGe
Source: Alexandria via LeMat-Bulk
Functional: GGA-PBE
Structure: optimized geometry

Summary:
- Formation energy: -0.53 eV per atom
- Space group: P2_1/m (11)
- Total magnetization: 0.02 μB per formula unit

Unit cell a=4.2281 b=6.0075 c=8.0644 alpha=110.56 beta=90.00 gamma=90.00
Atoms (fractional coordinates):
Sm  0.2500  0.7801  0.0576
Sm  0.7500  0.2199  0.9424
Sm  0.7500  0.2133  0.4130
Sm  0.2500  0.7867  0.5870
Ge  0.2500  0.3352  0.7067
Ge  0.7500  0.6648  0.2933
Cu  0.2500  0.3854  0.2218
Cu  0.7500  0.6146  0.7782

---

Entry 3:
Compound: Sm2Cu5Ge3
Source: Alexandria via LeMat-Bulk
Functional: GGA-PBE
Structure: optimized geometry

Summary:
- Formation energy: -0.24 eV per atom
- Space group: P-4m2 (115)
- Total magnetization: 0.00 μB per formula unit

Unit cell a=4.2021 b=4.2021 c=10.1315 alpha=90.00 beta=90.00 gamma=90.00
Atoms (fractional coordinates):
Cu  0.0000  0.5000  0.1196
Cu  0.5000  0.5000  0.5000
Cu  0.5000  0.5000  0.0000
Cu  0.0000  0.0000  0.0000
Cu  0.5000  0.0000  0.8804
Ge  0.0000  0.5000  0.3504
Ge  0.0000  0.0000  0.5000
Ge  0.5000  0.0000  0.6496
Sm  0.0000  0.5000  0.7696
Sm  0.5000  0.0000  0.2304

---

Entry 4:
Compound: SmCuGe
Source: Alexandria via LeMat-Bulk
Functional: GGA-PBE
Structure: optimized geometry

Summary:
- Formation energy: -0.15 eV per atom
- Space group: I4mm (107)
- Total magnetization: 0.00 μB per formula unit

Unit cell a=4.0190 b=4.0190 c=4.9724 alpha=113.84 beta=113.84 gamma=90.00
Atoms (fractional coordinates):
Cu  0.2996  0.2996  0.5993
Ge  0.5984  0.5984  0.1968
Sm  0.9520  0.9520  0.9040